# SrP3Se | Alexandria via LeMat-Bulk | PBE | optimized geometry
# **VASP energy**: -20.03 eV per cell
# **Raw formation energy**: 0.273 eV per atom
# **DOS at the Fermi energy**: 4.99 states/eV/f.u.
data_SrP3Se
_chemical_formula_sum 'Sr1 P3 Se1'
_cell_length_a 4.9031
_cell_length_b 4.9031
_cell_length_c 4.9031
_cell_angle_alpha 90.00
_cell_angle_beta 90.00
_cell_angle_gamma 90.00
_symmetry_space_group_name_H-M 'P m -3 m'
_symmetry_Int_Tables_number 221
_symmetry_space_group_name_Hall '-P 4 2 3'
loop_
_atom_site_label
_atom_site_type_symbol
_atom_site_fract_x
_atom_site_fract_y
_atom_site_fract_z
Sr1 Sr 0.0000 0.0000 0.0000
P1 P 0.0000 0.5000 0.5000
Se1 Se 0.5000 0.5000 0.5000